No. 1
A relaxed structure of Nd3Dy6Er2Mg. Source: the Alexandria database, functional GGA-PBE.

CIF file:
```
data_Nd3Dy6Er2Mg
_cell_length_a 6.1677
_cell_length_b 10.6900
_cell_length_c 11.7116
_cell_angle_alpha 90.00
_cell_angle_beta 100.18
_cell_angle_gamma 90.00
_space_group_name_H-M_alt 'C 1 2/m 1'
_space_group_IT_number 12
loop_
_space_group_symop_operation_xyz
'x,y,z'
'-x,-y,-z'
'-x,y,-z'
'x,-y,z'
'x+1/2,y+1/2,z'
'-x+1/2,-y+1/2,-z'
'-x+1/2,y+1/2,-z'
'x+1/2,-y+1/2,z'
loop_
_atom_site_label
_atom_site_fract_x
_atom_site_fract_y
_atom_site_fract_z
Nd1 0.0000 0.0000 0.0000
Nd2 0.0000 0.3343 0.0000
Dy1 0.2468 0.3337 0.7439
Dy2 0.2476 0.0000 0.7446
Er1 0.0000 0.1663 0.5000
Mg1 0.0000 0.5000 0.5000
```



No. 2
A relaxed structure of Nd4DyEr2Mg. Source: the Alexandria database, functional GGA-PBE.

CIF file:
```
data_Nd4DyEr2Mg
_cell_length_a 5.7616
_cell_length_b 5.7616
_cell_length_c 7.7607
_cell_angle_alpha 90.00
_cell_angle_beta 90.00
_cell_angle_gamma 90.00
_space_group_name_H-M_alt 'P 4/m m m'
_space_group_IT_number 123
_space_group_name_Hall '-P 4 2'
loop_
_atom_site_label
_atom_site_fract_x
_atom_site_fract_y
_atom_site_fract_z
Nd1 0.0000 0.5000 0.2399
Dy1 0.0000 0.0000 0.5000
Er1 0.0000 0.0000 0.0000
Er2 0.5000 0.5000 0.5000
Mg1 0.5000 0.5000 0.0000
```



No. 3
# DyErMgNi (GGA-PBE, relaxed)
data_DyErMgNi
_cell_length_a 7.1058
_cell_length_b 7.1058
_cell_length_c 7.1058
_cell_angle_alpha 90.00
_cell_angle_beta 90.00
_cell_angle_gamma 90.00
_space_group_name_H-M_alt 'F -4 3 m'
_space_group_IT_number 216
_space_group_name_Hall 'F -4 2 3'
loop_
_atom_site_label
_atom_site_fract_x
_atom_site_fract_y
_atom_site_fract_z
Dy1 0.0000 0.0000 0.0000
Er1 0.0000 0.0000 0.5000
Mg1 0.2500 0.2500 0.7500
Ni1 0.2500 0.2500 0.2500
# ΔE to the lowest computed polymorph	137	meV/atom



no.,formation enthalpy at 0 K (eV/atom),theoretical density (g/cm3)
1,0.034,7.72
2,0.047,7.08
3,-0.124,7.64